Record 1
VASP calculation (PBE-GGA) on crystalline NpBiPb2O8 at its relaxed geometry.

space group = Cmmm
formation energy without anion corrections = -1576.3 meV/atom

Lattice parameters (Å, degrees): 5.230 5.230 7.056 90.00 90.00 90.68
Element x y z (fractional)
Np 0.000 0.000 0.000
Bi 0.000 0.000 0.500
Pb 0.500 0.500 0.249
Pb 0.500 0.500 0.751
O 0.181 0.819 0.217
O 0.181 0.819 0.783
O 0.291 0.291 0.000
O 0.314 0.314 0.500
O 0.686 0.686 0.500
O 0.709 0.709 0.000
O 0.819 0.181 0.217
O 0.819 0.181 0.783


Record 2
VASP calculation (PBE-GGA) on crystalline AuICl2 at its relaxed geometry.

space group = Fm-3m
formation energy without anion corrections = 588.7 meV/atom
ΔE to the lowest computed polymorph = 797 meV per atom

Lattice parameters (Å, degrees): 7.365 7.365 7.365 90.00 90.00 90.00
Element x y z (fractional)
Au 0.000 0.000 0.000
Au 0.000 0.500 0.500
Au 0.500 0.000 0.500
Au 0.500 0.500 0.000
I 0.000 0.000 0.500
I 0.000 0.500 0.000
I 0.500 0.000 0.000
I 0.500 0.500 0.500
Cl 0.250 0.250 0.250
Cl 0.250 0.250 0.750
Cl 0.250 0.750 0.250
Cl 0.250 0.750 0.750
Cl 0.750 0.250 0.250
Cl 0.750 0.250 0.750
Cl 0.750 0.750 0.250
Cl 0.750 0.750 0.750


Record 3
VASP calculation (PBE-GGA) on crystalline BaAsPt2 at its relaxed geometry.

space group = C2/m
ΔE_f = 0.056 eV per atom

Lattice parameters (Å, degrees): 6.253 10.336 3.037 90.00 118.36 90.00
Element x y z (fractional)
Ba 0.000 0.000 0.000
Ba 0.500 0.500 0.000
As 0.000 0.500 0.000
As 0.500 0.000 0.000
Pt 0.250 0.250 0.500
Pt 0.250 0.750 0.500
Pt 0.750 0.250 0.500
Pt 0.750 0.750 0.500


Record 4
VASP calculation (PBE-GGA) on crystalline Si4WCl at its relaxed geometry.

space group = F-43m
formation energy without anion corrections = 733.6 meV/atom

Lattice parameters (Å, degrees): 5.046 5.046 5.046 60.00 60.00 60.00
Element x y z (fractional)
Si 0.376 0.376 0.376
Si 0.376 0.376 0.871
Si 0.376 0.871 0.376
Si 0.871 0.376 0.376
W 0.000 0.000 0.000
Cl 0.750 0.750 0.750


Quick rundown of Fermi-level density of states, same order as above: 6.60; 8.34; 4.69; 5.27 states/eV per cell